Here is an optimized crystal structure of Hf2ZrAgO from Alexandria via LeMat-Bulk. Energies are from PBE.

POSCAR file:
```
Hf2ZrAgO
1.0
4.385 0.000 0.000
0.000 4.385 0.000
0.000 0.000 4.551
Hf O Ag Zr
2 1 1 1
Cartesian
2.193 0.000 0.000 Hf
0.000 2.193 0.000 Hf
0.000 0.000 0.000 O
2.193 2.193 2.275 Ag
0.000 0.000 2.275 Zr
```

Results
Symmetry: P4/mmm, No. 123



Here is an optimized crystal structure of Hf2AgOs2 from Alexandria via LeMat-Bulk. Energies are from PBE.

POSCAR file:
```
Hf2AgOs2
1.0
7.550 0.000 0.000
0.000 7.550 0.000
0.000 0.000 3.227
Hf Ag Os
4 2 4
Cartesian
1.185 4.960 1.613 Hf
4.960 6.365 1.613 Hf
6.365 2.590 1.613 Hf
2.590 1.185 1.613 Hf
0.000 0.000 0.000 Ag
3.775 3.775 0.000 Ag
2.728 6.503 0.000 Os
6.503 4.821 0.000 Os
1.047 2.728 0.000 Os
4.821 1.047 0.000 Os
```

Results
Symmetry: P4/mbm, No. 127
E_form: -0.14 eV per atom



Here is an optimized crystal structure of HfAg2Os from Alexandria via LeMat-Bulk. Energies are from PBE.

POSCAR file:
```
HfAg2Os
1.0
-1.849 2.811 1.783
-2.193 0.505 -3.072
-8.815 -5.176 3.083
Os Ag Hf
2 4 2
Cartesian
0.000 0.000 0.000 Os
-6.343 -0.353 2.111 Os
-3.649 0.550 1.516 Ag
-8.109 -2.643 1.855 Ag
-3.790 -0.651 -0.941 Ag
-10.167 -0.976 1.159 Ag
-2.021 1.658 -0.645 Hf
-6.515 -1.507 -0.316 Hf
```

Results
Symmetry: I-42d, No. 122
E above lowest polymorph: 0.000 eV per atom
E_form: 0.37 eV per atom



Here is an optimized crystal structure of HfAg3Os from Alexandria via LeMat-Bulk. Energies are from PBE.

POSCAR file:
```
HfAg3Os
1.0
4.925 0.000 0.000
0.000 4.925 0.000
0.000 0.000 4.925
Hf Ag Os
1 3 1
Cartesian
2.463 2.463 2.463 Hf
0.000 2.463 0.000 Ag
2.463 0.000 0.000 Ag
0.000 0.000 2.463 Ag
0.000 0.000 0.000 Os
```

Results
Symmetry: Pm-3m, No. 221
E above lowest polymorph: 0.000 eV per atom
E_form: 1.64 eV per atom



Here is an optimized crystal structure of HfAg2Os from Alexandria via LeMat-Bulk. Energies are from PBE.

POSCAR file:
```
HfAg2Os
1.0
-1.820 0.661 4.194
-1.878 4.079 1.086
-4.577 0.376 0.498
Os Hf Ag
1 1 2
Cartesian
-4.138 2.558 2.890 Os
0.000 0.000 0.000 Hf
-6.206 3.837 4.334 Ag
-2.069 1.279 1.445 Ag
```

Results
Symmetry: Fm-3m, No. 225
E above lowest polymorph: 0.066 eV per atom
E_form: 0.44 eV per atom



Here is an optimized crystal structure of Hf2AgOs from Alexandria via LeMat-Bulk. Energies are from PBE.

POSCAR file:
```
Hf2AgOs
1.0
-2.745 0.491 -1.650
1.314 -1.409 -2.605
-2.428 -6.282 2.173
Hf Ag Os
2 1 1
Cartesian
-0.562 -1.453 0.503 Hf
-1.867 -4.828 1.670 Hf
-1.930 -3.600 -1.041 Ag
-0.716 -0.459 -2.127 Os
```

Results
Symmetry: P4/mmm, No. 123
E_form: -0.32 eV per atom



Here is an optimized crystal structure of Hf2AgOs from Alexandria via LeMat-Bulk. Energies are from PBE.

POSCAR file:
```
Hf2AgOs
1.0
-1.242 7.098 -1.863
-7.118 -1.625 -1.445
-4.873 3.335 1.089
Hf Ag Os
4 2 2
Cartesian
-6.607 4.595 -0.387 Hf
-2.916 5.249 -1.120 Hf
-5.790 0.523 -0.816 Hf
-11.153 7.248 -2.115 Hf
-8.086 2.223 -1.005 Ag
-4.180 2.737 -1.654 Ag
0.000 0.000 0.000 Os
-5.148 6.585 -1.214 Os
```

Results
Symmetry: I-42d, No. 122
E_form: 0.25 eV per atom



Here is an optimized crystal structure of Hf3AgOs2 from Alexandria via LeMat-Bulk. Energies are from PBE.

POSCAR file:
```
Hf3AgOs2
1.0
3.238 0.000 0.000
0.000 3.238 0.000
0.000 0.000 10.382
Os Hf Ag
2 3 1
Cartesian
1.619 1.619 8.715 Os
1.619 1.619 1.667 Os
0.000 0.000 7.101 Hf
0.000 0.000 0.000 Hf
0.000 0.000 3.281 Hf
1.619 1.619 5.191 Ag
```

Results
Symmetry: P4/mmm, No. 123
E_form: -0.46 eV per atom



Here is an optimized crystal structure of Hf5AgOs4 from Alexandria via LeMat-Bulk. Energies are from PBE.

POSCAR file:
```
Hf5AgOs4
1.0
-0.248 -3.230 -0.064
1.692 -0.185 2.758
-14.377 0.926 8.884
Hf Os Ag
5 4 1
Cartesian
-9.248 -1.065 7.507 Hf
-12.040 -0.885 9.233 Hf
-6.466 -1.245 5.789 Hf
-0.893 -1.604 2.345 Hf
-3.685 -1.424 4.070 Hf
-8.581 0.553 5.303 Os
-11.386 0.734 7.036 Os
-2.991 0.193 1.848 Os
-5.795 0.373 3.581 Os
0.000 0.000 0.000 Ag
```

Results
Symmetry: P4/mmm, No. 123
E_form: -0.56 eV per atom



Here is an optimized crystal structure of HfAg3Os from Alexandria via LeMat-Bulk. Energies are from PBE.

POSCAR file:
```
HfAg3Os
1.0
-4.370 2.291 -1.039
0.721 -0.856 -4.917
-2.410 -4.410 0.414
Ag Hf Os
3 1 1
Cartesian
0.360 -0.428 -2.458 Ag
-1.205 -2.205 0.207 Ag
-2.185 1.145 -0.520 Ag
0.000 0.000 0.000 Hf
-3.030 -1.488 -2.771 Os
```

Results
Symmetry: Pm-3m, No. 221
E above lowest polymorph: 0.582 eV per atom
E_form: 2.22 eV per atom



Here is an optimized crystal structure of Hf2AgPOs from Alexandria via LeMat-Bulk. Energies are from PBE.

POSCAR file:
```
Hf2AgPOs
1.0
4.822 0.000 0.000
0.000 4.310 0.000
0.000 0.000 4.822
Os P Hf Ag
1 1 2 1
Cartesian
0.000 2.155 0.000 Os
0.000 0.000 0.000 P
0.000 0.000 2.411 Hf
2.411 0.000 0.000 Hf
2.411 2.155 2.411 Ag
```

Results
Symmetry: P4/mmm, No. 123
E_form: 0.11 eV per atom



Here is an optimized crystal structure of PmHfAgOs from Alexandria via LeMat-Bulk. Energies are from PBE.

POSCAR file:
```
PmHfAgOs
1.0
4.888 0.000 0.000
2.444 4.233 0.000
2.444 1.411 3.991
Os Pm Ag Hf
1 1 1 1
Cartesian
7.332 4.233 2.993 Os
0.000 0.000 0.000 Pm
2.444 1.411 0.998 Ag
4.888 2.822 1.996 Hf
```

Results
Symmetry: F-43m, No. 216
E_form: -0.10 eV per atom



Here is an optimized crystal structure of HfScAgOs from Alexandria via LeMat-Bulk. Energies are from PBE.

POSCAR file:
```
HfScAgOs
1.0
4.688 0.000 0.000
2.344 4.060 0.000
2.344 1.353 3.828
Hf Ag Os Sc
1 1 1 1
Cartesian
4.688 2.707 1.914 Hf
2.344 1.353 0.957 Ag
7.032 4.060 2.871 Os
0.000 0.000 0.000 Sc
```

Results
Symmetry: F-43m, No. 216
E_form: -0.35 eV per atom



Here is an optimized crystal structure of HfSi2AgOs from Alexandria via LeMat-Bulk. Energies are from PBE.

POSCAR file:
```
HfSi2AgOs
1.0
4.498 0.000 0.000
0.000 5.183 0.000
0.000 0.000 4.498
Hf Os Si Ag
1 1 2 1
Cartesian
2.249 2.592 2.249 Hf
0.000 0.000 0.000 Os
2.249 0.000 0.000 Si
0.000 0.000 2.249 Si
0.000 2.592 0.000 Ag
```

Results
Symmetry: P4/mmm, No. 123



Here is an optimized crystal structure of SmHfAgOs from Alexandria via LeMat-Bulk. Energies are from PBE.

POSCAR file:
```
SmHfAgOs
1.0
-1.127 2.942 -3.721
-3.206 -1.454 -3.373
-4.409 2.068 -0.224
Os Ag Hf Sm
1 1 1 1
Cartesian
-4.371 1.778 -3.659 Os
0.000 0.000 0.000 Ag
-2.185 0.889 -1.829 Hf
-6.556 2.667 -5.488 Sm
```

Results
Symmetry: F-43m, No. 216
E_form: -0.12 eV per atom



Here is an optimized crystal structure of SrHf2AgOs from Alexandria via LeMat-Bulk. Energies are from PBE.

POSCAR file:
```
SrHf2AgOs
1.0
-4.359 -2.434 -0.232
0.835 -0.942 -5.797
2.342 -4.293 1.035
Ag Os Sr Hf
1 1 1 2
Cartesian
-0.591 -3.834 -2.497 Ag
0.000 0.000 0.000 Os
0.417 -0.471 -2.898 Sr
-2.180 -1.217 -0.116 Hf
1.171 -2.146 0.517 Hf
```

Results
Symmetry: P4/mmm, No. 123
E_form: 0.49 eV per atom



Here is an optimized crystal structure of HfTc2AgOs from Alexandria via LeMat-Bulk. Energies are from PBE.

POSCAR file:
```
HfTc2AgOs
1.0
4.691 0.000 0.000
0.000 4.842 0.000
0.000 0.000 4.691
Os Tc Ag Hf
1 2 1 1
Cartesian
2.346 2.421 2.346 Os
0.000 0.000 2.346 Tc
2.346 0.000 0.000 Tc
0.000 0.000 0.000 Ag
0.000 2.421 0.000 Hf
```

Results
Symmetry: P4/mmm, No. 123
E_form: 2.39 eV per atom



Here is an optimized crystal structure of HfTcAg2Os from Alexandria via LeMat-Bulk. Energies are from PBE.

POSCAR file:
```
HfTcAg2Os
1.0
-3.624 -0.144 3.526
-1.243 -4.358 -1.456
3.272 -2.029 3.280
Os Ag Tc Hf
1 2 1 1
Cartesian
-0.622 -2.179 -0.728 Os
1.636 -1.015 1.640 Ag
-1.812 -0.072 1.763 Ag
-0.797 -3.266 2.675 Tc
0.000 0.000 0.000 Hf
```

Results
Symmetry: P4/mmm, No. 123
E_form: 1.97 eV per atom



Here is an optimized crystal structure of HfTcAgOs2 from Alexandria via LeMat-Bulk. Energies are from PBE.

POSCAR file:
```
HfTcAgOs2
1.0
-2.394 -1.560 -3.824
-2.258 -3.392 2.797
-3.507 3.102 0.930
Os Ag Hf Tc
2 1 1 1
Cartesian
-1.197 -0.780 -1.912 Os
-1.753 1.551 0.465 Os
-1.129 -1.696 1.399 Ag
0.000 0.000 0.000 Hf
-4.079 -0.925 -0.048 Tc
```

Results
Symmetry: P4/mmm, No. 123
E_form: 2.26 eV per atom



Here is an optimized crystal structure of HfZrAg2Os from Alexandria via LeMat-Bulk. Energies are from PBE.

POSCAR file:
```
HfZrAg2Os
1.0
5.051 0.000 0.000
0.000 4.785 0.000
0.000 0.000 5.051
Hf Os Ag Zr
1 1 2 1
Cartesian
0.000 2.393 0.000 Hf
0.000 0.000 0.000 Os
2.525 0.000 0.000 Ag
0.000 0.000 2.525 Ag
2.525 2.393 2.525 Zr
```

Results
Symmetry: P4/mmm, No. 123
E_form: 1.02 eV per atom



Here is an optimized crystal structure of Hf2AgP from Alexandria via LeMat-Bulk. Energies are from PBE.

POSCAR file:
```
Hf2AgP
1.0
-1.664 0.271 7.083
0.058 -7.275 0.292
2.104 -3.451 4.369
Hf Ag P
4 2 2
Cartesian
0.171 -8.512 9.721 Hf
0.307 -5.368 2.359 Hf
-0.460 -1.610 5.357 Hf
0.977 -5.418 6.050 Hf
0.000 0.000 0.000 Ag
-0.182 -3.341 7.569 Ag
0.679 -7.114 4.174 P
-0.803 -3.502 3.688 P
```

Results
Symmetry: I-42d, No. 122
E_form: -0.19 eV per atom



Here is an optimized crystal structure of HfAgP3 from Alexandria via LeMat-Bulk. Energies are from PBE.

POSCAR file:
```
HfAgP3
1.0
-1.341 1.746 4.451
0.887 -4.451 2.013
4.698 1.339 0.890
P Hf Ag
3 1 1
Cartesian
2.349 0.669 0.445 P
0.444 -2.226 1.007 P
-0.670 0.873 2.225 P
0.000 0.000 0.000 Hf
2.122 -0.683 3.677 Ag
```

Results
Symmetry: Pm-3m, No. 221
E above lowest polymorph: 0.000 eV per atom
E_form: 0.46 eV per atom



Here is an optimized crystal structure of Hf3AgP from Alexandria via LeMat-Bulk. Energies are from PBE.

POSCAR file:
```
Hf3AgP
1.0
5.037 0.000 0.000
0.000 5.037 0.000
0.000 0.000 5.037
Ag Hf P
1 3 1
Cartesian
0.000 0.000 0.000 Ag
0.000 2.519 0.000 Hf
0.000 0.000 2.519 Hf
2.519 0.000 0.000 Hf
2.519 2.519 2.519 P
```

Results
Symmetry: Pm-3m, No. 221
E above lowest polymorph: 1.234 eV per atom
E_form: 1.10 eV per atom



Here is an optimized crystal structure of HfAgP3 from Alexandria via LeMat-Bulk. Energies are from PBE.

POSCAR file:
```
HfAgP3
1.0
4.694 0.000 0.000
0.000 4.694 0.000
0.000 0.000 4.694
P Ag Hf
3 1 1
Cartesian
0.000 2.347 0.000 P
0.000 0.000 2.347 P
2.347 0.000 0.000 P
0.000 0.000 0.000 Ag
2.347 2.347 2.347 Hf
```

Results
Symmetry: Pm-3m, No. 221
E above lowest polymorph: 0.484 eV per atom
E_form: 0.95 eV per atom



Here is an optimized crystal structure of HfAgP2 from Alexandria via LeMat-Bulk. Energies are from PBE.

POSCAR file:
```
HfAgP2
1.0
0.000 3.239 3.239
3.239 0.000 3.239
3.239 3.239 0.000
P Hf Ag
2 1 1
Cartesian
1.620 1.620 1.620 P
4.859 4.859 4.859 P
3.239 3.239 3.239 Hf
0.000 0.000 0.000 Ag
```

Results
Symmetry: Fm-3m, No. 225
E above lowest polymorph: 0.000 eV per atom
E_form: -0.16 eV per atom



Here is an optimized crystal structure of Hf2AgP2 from Alexandria via LeMat-Bulk. Energies are from PBE.

POSCAR file:
```
Hf2AgP2
1.0
7.159 0.000 0.000
0.000 7.159 0.000
0.000 0.000 3.376
Hf P Ag
4 4 2
Cartesian
4.659 6.079 1.688 Hf
1.080 4.659 1.688 Hf
2.500 1.080 1.688 Hf
6.079 2.500 1.688 Hf
2.544 6.123 0.000 P
4.616 1.036 0.000 P
6.123 4.616 0.000 P
1.036 2.544 0.000 P
3.580 3.580 0.000 Ag
0.000 0.000 0.000 Ag
```

Results
Symmetry: P4/mbm, No. 127
E_form: -0.78 eV per atom



Here is an optimized crystal structure of Hf3AgP from Alexandria via LeMat-Bulk. Energies are from PBE.

POSCAR file:
```
Hf3AgP
1.0
4.795 0.000 0.000
0.000 4.795 0.000
0.000 0.000 4.795
Hf Ag P
3 1 1
Cartesian
0.000 0.000 2.398 Hf
0.000 2.398 0.000 Hf
2.398 0.000 0.000 Hf
2.398 2.398 2.398 Ag
0.000 0.000 0.000 P
```

Results
Symmetry: Pm-3m, No. 221
E above lowest polymorph: 0.000 eV per atom
E_form: -0.14 eV per atom



Here is an optimized crystal structure of HfAgP2 from Alexandria via LeMat-Bulk. Energies are from PBE.

POSCAR file:
```
HfAgP2
1.0
-0.146 3.757 4.875
-5.475 2.149 -1.820
-5.087 -0.591 4.191
Hf P Ag
2 4 2
Cartesian
-4.022 3.060 5.297 Hf
0.000 0.000 0.000 Hf
-2.047 2.469 3.867 P
-4.712 1.665 0.520 P
-8.733 4.724 5.817 P
-5.924 1.772 4.289 P
-2.811 2.953 1.528 Ag
-6.686 2.255 1.950 Ag
```

Results
Symmetry: I-42d, No. 122
E above lowest polymorph: 0.056 eV per atom
E_form: -0.10 eV per atom



| no. | volume (Å³ per cell) | final energy (eV per atom) |
| --- | --- | --- |
| 1 | 88 | -8.217 |
| 2 | 184 | -9.179 |
| 3 | 150 | -6.347 |
| 4 | 119 | -4.312 |
| 5 | 70 | -6.281 |
| 6 | 74 | -8.818 |
| 7 | 160 | -8.246 |
| 8 | 109 | -9.653 |
| 9 | 178 | -10.310 |
| 10 | 128 | -3.730 |
| 11 | 100 | -7.770 |
| 12 | 83 | -7.295 |
| 13 | 73 | -7.939 |
| 14 | 105 | -6.297 |
| 15 | 82 | -7.313 |
| 16 | 148 | -6.643 |
| 17 | 107 | -6.563 |
| 18 | 122 | -5.478 |
| 19 | 113 | -6.869 |
| 20 | 122 | -6.066 |
| 21 | 158 | -7.229 |
| 22 | 122 | -5.344 |
| 23 | 128 | -6.526 |
| 24 | 103 | -4.860 |
| 25 | 68 | -6.064 |
| 26 | 173 | -7.491 |
| 27 | 110 | -7.760 |
| 28 | 189 | -6.008 |